Material: TiTl7Se6
Method: DFT, PBE
State: optimized geometry

Results
Total magnetic moment in μB per formula unit: 0.0
Formation energy (no corrections) in eV/atom: -0.4873
SG: Ibam, No. 72
Uncorrected energy in eV per atom: -3.728

Structure (POSCAR):
```
TiTl7Se6
1.0
-4.000 6.805 8.790
4.000 -6.805 8.790
4.000 6.805 -8.790
Ti Tl Se
2 14 12
direct
0.250 0.250 0.000
0.750 0.750 0.000
0.028 0.751 0.779
0.083 0.066 0.383
0.183 0.566 0.983
0.250 0.750 0.500
0.317 0.300 0.383
0.417 0.800 0.983
0.472 0.251 0.723
0.528 0.749 0.277
0.583 0.200 0.017
0.683 0.700 0.617
0.750 0.250 0.500
0.817 0.434 0.017
0.917 0.934 0.617
0.972 0.249 0.221
0.076 0.357 0.089
0.177 0.481 0.658
0.232 0.143 0.719
0.268 0.987 0.911
0.323 0.981 0.304
0.424 0.513 0.281
0.576 0.487 0.719
0.677 0.019 0.696
0.732 0.013 0.089
0.768 0.857 0.281
0.823 0.519 0.342
0.924 0.643 0.911
```

Material: Nd3Dy2Ge4
Method: DFT, PBE
State: optimized geometry

Results
ΔH_f (0 K) in eV/atom: -0.8370
Total magnetic moment in μB per formula unit: 0.0
SG: P2_1/c, No. 14
Uncorrected energy in eV per atom: -5.501

Structure (POSCAR):
```
Nd3Dy2Ge4
1.0
8.051 0.000 0.000
0.000 7.970 0.000
-2.825 0.000 7.218
Nd Dy Ge
6 4 8
direct
0.000 0.000 0.000
0.000 0.500 0.500
0.303 0.182 0.432
0.303 0.318 0.932
0.697 0.682 0.068
0.697 0.818 0.568
0.261 0.665 0.267
0.261 0.835 0.767
0.739 0.165 0.233
0.739 0.335 0.733
0.007 0.127 0.624
0.007 0.373 0.124
0.418 0.541 0.669
0.418 0.959 0.169
0.582 0.041 0.831
0.582 0.459 0.331
0.993 0.627 0.876
0.993 0.873 0.376
```

Material: Ac3Ge4Ru4
Method: DFT, PBE
State: optimized geometry

Results
ΔH_f (0 K) in eV/atom: -0.5587
Total magnetic moment in μB per formula unit: 0.0
SG: I-43m, No. 217
Uncorrected energy in eV per atom: -6.731

Structure (POSCAR):
```
Ac3Ge4Ru4
1.0
-3.913 3.913 3.913
3.913 -3.913 3.913
3.913 3.913 -3.913
Ac Ge Ru
3 4 4
direct
0.000 0.500 0.500
0.500 0.000 0.500
0.500 0.500 0.000
0.000 0.000 0.622
0.000 0.622 0.000
0.378 0.378 0.378
0.622 0.000 0.000
0.000 0.000 0.257
0.000 0.257 0.000
0.257 0.000 0.000
0.743 0.743 0.743
```

Material: Ba3PuBe2O8
Method: DFT, PBE
State: optimized geometry

Results
Total magnetic moment in μB per formula unit: 2.0
Formation energy (no corrections) in eV/atom: -2.6240
SG: P-3m1, No. 164
Uncorrected energy in eV per atom: -7.425

Structure (POSCAR):
```
Ba3PuBe2O8
1.0
5.666 0.000 0.000
-2.833 4.907 0.000
0.000 0.000 7.525
Ba Pu Be O
3 1 2 8
direct
0.000 0.000 0.000
0.333 0.667 0.717
0.667 0.333 0.283
0.000 0.000 0.500
0.333 0.667 0.247
0.667 0.333 0.753
0.172 0.343 0.336
0.172 0.828 0.336
0.333 0.667 0.044
0.343 0.172 0.664
0.657 0.828 0.336
0.667 0.333 0.956
0.828 0.172 0.664
0.828 0.657 0.664
```

Material: Ti2Zn2Cl
Method: DFT, PBE
State: optimized geometry

Results
Total magnetic moment in μB per formula unit: 0.0
Formation energy (no corrections) in eV/atom: -0.2566
SG: P4/mbm, No. 127
Uncorrected energy in eV per atom: -4.293

Structure (POSCAR):
```
Ti2Zn2Cl
1.0
6.337 0.000 0.000
0.000 6.337 0.000
0.000 0.000 4.215
Ti Zn Cl
4 4 2
direct
0.161 0.339 0.000
0.339 0.839 0.000
0.661 0.161 0.000
0.839 0.661 0.000
0.141 0.641 0.500
0.359 0.141 0.500
0.641 0.859 0.500
0.859 0.359 0.500
0.000 0.000 0.000
0.500 0.500 0.000
```

Material: Hf2SbHPd
Method: DFT, PBE
State: optimized geometry

Results
Total magnetic moment in μB per formula unit: 0.0
SG: P4/mmm, No. 123
Uncorrected energy in eV per atom: -6.953

Structure (POSCAR):
```
Hf2SbHPd
1.0
4.336 0.000 0.000
0.000 4.336 0.000
0.000 0.000 4.281
Hf Sb H Pd
2 1 1 1
direct
0.000 0.500 0.000
0.500 0.000 0.000
0.000 0.000 0.500
0.500 0.500 0.000
0.500 0.500 0.500
```

Material: Sm3Y5Ho2
Method: DFT, PBE
State: optimized geometry

Results
ΔH_f (0 K) in eV/atom: 0.1894
Total magnetic moment in μB per formula unit: 0.0
Energy above the most stable polymorph in this dataset in kJ/mol of atoms: 0.00
SG: C2/c, No. 15
Uncorrected energy in eV per atom: -5.374

Structure (POSCAR):
```
Sm3Y5Ho2
1.0
5.386 -8.020 0.000
5.386 8.020 0.000
-5.371 0.000 7.704
Sm Y Ho
6 10 4
direct
0.019 0.271 0.047
0.229 0.771 0.750
0.271 0.019 0.547
0.729 0.981 0.453
0.771 0.229 0.250
0.981 0.729 0.953
0.024 0.976 0.750
0.138 0.379 0.765
0.274 0.726 0.250
0.379 0.138 0.265
0.473 0.527 0.250
0.527 0.473 0.750
0.621 0.862 0.735
0.726 0.274 0.750
0.862 0.621 0.235
0.976 0.024 0.250
0.226 0.471 0.454
0.471 0.226 0.954
0.529 0.774 0.046
0.774 0.529 0.546
```

Material: LiCoOs4
Method: DFT, PBE
State: optimized geometry

Results
ΔH_f (0 K) in eV/atom: 0.7518
Total magnetic moment in μB per formula unit: 2.3
SG: F-43m, No. 216
Uncorrected energy in eV per atom: -8.238

Structure (POSCAR):
```
LiCoOs4
1.0
0.000 3.610 3.610
3.610 0.000 3.610
3.610 3.610 0.000
Li Co Os
1 1 4
direct
0.000 0.000 0.000
0.250 0.250 0.250
0.125 0.625 0.625
0.625 0.125 0.625
0.625 0.625 0.125
0.625 0.625 0.625
```